Entry from the Alexandria database: a relaxed Ca2SbOs crystal (PBE-GGA).

```
data_Ca2SbOs
_cell_length_a 4.9473
_cell_length_b 4.9473
_cell_length_c 6.9863
_cell_angle_alpha 90.00
_cell_angle_beta 90.00
_cell_angle_gamma 90.00
_space_group_name_H-M_alt 'I -4 m 2'
_space_group_IT_number 119
_space_group_name_Hall 'I -4 -2'
loop_
_atom_site_label
_atom_site_fract_x
_atom_site_fract_y
_atom_site_fract_z
Ca1 0.0000 0.0000 0.0000
Ca2 0.0000 0.5000 0.2500
Sb1 0.0000 0.5000 0.7500
Os1 0.0000 0.0000 0.5000
```

Properties
Uncorrected formation energy (kJ/mol of atoms): 4.6